GGA-PBE LaGaH, optimized geometry; energy above the most stable polymorph in this dataset = 0 meV/atom; raw total energy = -26.6 eV/cell
1.0
4.317 0.000 0.000
0.000 4.287 0.000
-2.152 0.000 6.192
La Ga H
2 2 2
Cartesian
0.001 1.072 1.926
2.164 3.215 4.267
0.003 1.072 5.511
2.162 3.215 0.682
0.003 3.215 3.077
2.162 1.072 3.115